[1]
An optimized crystal structure of LiCrI2N, computed with PBE.

Cell lengths 5.5328, 5.5328, 3.9420 Å; angles 90.00, 90.00, 90.00 degrees
Last column: nearest neighbours and their distance in Å.
Fractional positions:
Li 0.0000 0.0000 0.0000  2 N 1.97
Cr 0.5000 0.5000 0.5000  8 I 3.40
I 0.0000 0.5000 0.0000  2 Li 2.77
I 0.5000 0.0000 0.0000  2 Li 2.77
N 0.0000 0.0000 0.5000  2 Li 1.97

Computed properties:
ΔE to the lowest computed polymorph: 975.0 meV per atom
mass density: 4.50 g/cm³

=====

[2]
An optimized crystal structure of LaFeTc2, computed with PBE.

Cell lengths 4.8297, 4.8297, 5.2783 Å; angles 101.76, 101.76, 36.99 degrees
Last column: nearest neighbours and their distance in Å.
Fractional positions:
La 0.0000 0.0000 0.0000  6 Tc 2.90-3.18, 4 Fe 3.05, 2 La 3.06
Fe 0.5000 0.5000 0.5000  4 Tc 2.53
Tc 0.2175 0.2175 0.6747  2 Fe 2.53, 2 Tc 2.56
Tc 0.7825 0.7825 0.3253  2 Fe 2.53, 2 Tc 2.56

Computed properties:
ΔE to the lowest computed polymorph: 183.0 meV per atom
ΔH_f (0 K): 1.5 eV per formula unit
mass density: 8.97 g/cm³

=====

[3]
An optimized crystal structure of BaCeC, computed with PBE.

Cell lengths 8.7074, 6.4119, 6.4119 Å; angles 90.00, 90.00, 90.00 degrees
Last column: nearest neighbours and their distance in Å.
Fractional positions:
Ba 0.1761 0.0005 0.2500  4 C 3.61-3.62, 5 Ce 3.68-3.76
Ba 0.1761 0.4995 0.7500  4 C 3.61-3.62, 5 Ce 3.68-3.76
Ba 0.8239 0.5005 0.2500  4 C 3.61-3.62, 5 Ce 3.68-3.76
Ba 0.8239 0.9995 0.7500  4 C 3.61-3.62, 5 Ce 3.68-3.76
Ce 0.4014 0.9996 0.7500  4 C 2.42
Ce 0.4014 0.5004 0.2500  4 C 2.42
Ce 0.5986 0.0004 0.2500  4 C 2.42
Ce 0.5986 0.4996 0.7500  4 C 2.42
C 0.4995 0.2500 0.0000  4 Ce 2.42
C 0.4995 0.2500 0.5000  4 Ce 2.42
C 0.5005 0.7500 0.0000  4 Ce 2.42
C 0.5005 0.7500 0.5000  4 Ce 2.42

Computed properties:
ΔH_f (0 K): 0.1 eV per formula unit
mass density: 5.37 g/cm³

=====

[4]
An optimized crystal structure of Ba2PuThS6, computed with PBE.

Cell lengths 7.3085, 7.5947, 12.7651 Å; angles 90.00, 124.71, 90.00 degrees
Last column: nearest neighbours and their distance in Å.
Fractional positions:
Ba 0.2316 0.0616 0.2496  6 S 3.19-3.44
Ba 0.2316 0.4384 0.7496  6 S 3.19-3.44
Ba 0.7684 0.5616 0.2504  6 S 3.19-3.44
Ba 0.7684 0.9384 0.7504  6 S 3.19-3.44
Pu 0.0000 0.0000 0.5000  6 S 2.67-2.70
Pu 0.0000 0.5000 0.0000  6 S 2.67-2.70
Th 0.5000 0.0000 0.0000  6 S 2.76-2.78
Th 0.5000 0.5000 0.5000  6 S 2.76-2.78
S 0.1493 0.2078 0.9512  1 Pu 2.70, 1 Th 2.76
S 0.1493 0.2922 0.4512  1 Pu 2.70, 1 Th 2.76
S 0.2437 0.7012 0.9511  1 Pu 2.68, 1 Th 2.78
S 0.2437 0.7988 0.4511  1 Pu 2.68, 1 Th 2.78
S 0.3372 0.0259 0.7456  1 Pu 2.67, 1 Th 2.76
S 0.3372 0.4741 0.2456  1 Pu 2.67, 1 Th 2.76
S 0.6628 0.5259 0.7544  1 Pu 2.67, 1 Th 2.76
S 0.6628 0.9741 0.2544  1 Pu 2.67, 1 Th 2.76
S 0.7563 0.2012 0.5489  1 Pu 2.68, 1 Th 2.78
S 0.7563 0.2988 0.0489  1 Pu 2.68, 1 Th 2.78
S 0.8507 0.7078 0.5488  1 Pu 2.70, 1 Th 2.76
S 0.8507 0.7922 0.0488  1 Pu 2.70, 1 Th 2.76

Computed properties:
raw total energy: -6.911 eV/atom
mass density: 5.38 g/cm³